[1]
P2PdICl | SCAN | single point on PBEsol structure

```
P2PdICl
1.0
4.700 0.000 0.000
0.000 4.700 0.000
0.000 0.000 4.751
P Pd I Cl
2 1 1 1
direct
0.000 0.500 0.000
0.500 0.000 0.000
0.000 0.000 0.000
0.500 0.500 0.500
0.000 0.000 0.500
```

Properties
Raw total energy, eV/atom: -19.139
ΔE_f (raw), kJ/mol of formula units: 250
Density, Mg/m³: 5.23
DOS at the Fermi energy, states/eV per cell: 3.6

=====

[2]
SiP2ICl | SCAN | single point on PBEsol structure

```
SiP2ICl
1.0
4.689 0.000 0.000
0.000 4.689 0.000
0.000 0.000 4.515
Si P I Cl
1 2 1 1
direct
0.000 0.000 0.000
0.000 0.500 0.000
0.500 0.000 0.000
0.500 0.500 0.500
0.000 0.000 0.500
```

Properties
Raw total energy, eV/atom: -14.557
ΔE_f (raw), kJ/mol of formula units: 265
Density, Mg/m³: 4.22
DOS at the Fermi energy, states/eV per cell: 2.6

=====

[3]
PbICl2 | SCAN | single point on PBEsol structure

```
PbICl2
1.0
0.000 3.721 3.721
3.721 0.000 3.721
3.721 3.721 0.000
Pb I Cl
1 1 2
direct
0.000 0.000 0.000
0.500 0.500 0.500
0.250 0.250 0.250
0.750 0.750 0.750
```

Properties
Raw total energy, eV/atom: -32.487
ΔE_f (raw), kJ/mol of formula units: -142
Density, Mg/m³: 6.53
DOS at the Fermi energy, states/eV per cell: 3.7

=====

[4]
PbICl2 | SCAN | single point on PBEsol structure

```
PbICl2
1.0
1.737 1.003 10.352
-1.737 1.003 10.352
0.000 -2.006 10.352
Pb I Cl
1 1 2
direct
0.000 0.000 0.000
0.500 0.500 0.500
0.085 0.085 0.085
0.915 0.915 0.915
```

Properties
Raw total energy, eV/atom: -32.148
ΔE_f (raw), kJ/mol of formula units: -11
Density, Mg/m³: 6.21
DOS at the Fermi energy, states/eV per cell: 4.2

=====

[5]
PdICl2 | SCAN | single point on PBEsol structure

```
PdICl2
1.0
-4.270 4.270 2.780
4.270 -4.270 2.780
4.270 4.270 -2.780
Pd I Cl
2 2 4
direct
0.000 0.000 0.000
0.750 0.250 0.500
0.250 0.750 0.500
0.500 0.500 0.000
0.375 0.020 0.145
0.770 0.625 0.645
0.875 0.230 0.855
0.980 0.125 0.355
```

Properties
Raw total energy, eV/atom: -21.458
ΔE_f (raw), kJ/mol of formula units: -35
Density, Mg/m³: 4.98
DOS at the Fermi energy, states/eV per cell: 6.6

=====

[6]
PdSICl2 | SCAN | single point on PBEsol structure

```
PdSICl2
1.0
5.241 0.000 0.000
0.000 5.241 0.000
0.000 0.000 5.060
Pd S I Cl
1 1 1 2
direct
0.000 0.000 0.000
0.500 0.500 0.000
0.500 0.500 0.500
0.000 0.500 0.500
0.500 0.000 0.500
```

Properties
Raw total energy, eV/atom: -18.271
ΔE_f (raw), kJ/mol of formula units: 361
Density, Mg/m³: 4.02
DOS at the Fermi energy, states/eV per cell: 3.1

=====

[7]
SrPdICl2 | SCAN | single point on PBEsol structure

```
SrPdICl2
1.0
5.246 0.000 0.000
0.000 5.246 0.000
0.000 0.000 9.638
Sr Pd I Cl
1 1 1 2
direct
0.000 0.000 0.000
0.000 0.000 0.500
0.500 0.500 0.500
0.000 0.500 0.000
0.500 0.000 0.000
```

Properties
Raw total energy, eV/atom: -22.231
ΔE_f (raw), kJ/mol of formula units: -329
Density, Mg/m³: 2.45
DOS at the Fermi energy, states/eV per cell: 1.7

=====

[8]
PtI2Cl | SCAN | single point on PBEsol structure

```
PtI2Cl
1.0
0.000 3.523 3.523
3.523 0.000 3.523
3.523 3.523 0.000
Pt I Cl
1 2 1
direct
0.000 0.000 0.000
0.250 0.250 0.250
0.750 0.750 0.750
0.500 0.500 0.500
```

Properties
Raw total energy, eV/atom: -37.233
ΔE_f (raw), kJ/mol of formula units: 263
Density, Mg/m³: 9.20
DOS at the Fermi energy, states/eV per cell: 2.7

=====

[9]
TePtI2Cl | SCAN | single point on PBEsol structure

```
TePtI2Cl
1.0
5.912 0.000 0.000
0.000 5.912 0.000
0.000 0.000 4.880
Te Pt I Cl
1 1 2 1
direct
0.000 0.000 0.000
0.000 0.000 0.500
0.000 0.500 0.000
0.500 0.000 0.000
0.500 0.500 0.500
```

Properties
Raw total energy, eV/atom: -37.268
ΔE_f (raw), kJ/mol of formula units: 247
Density, Mg/m³: 5.96
DOS at the Fermi energy, states/eV per cell: 7.6

=====

[10]
TePtI2Cl | SCAN | single point on PBEsol structure

```
TePtI2Cl
1.0
5.458 0.000 0.000
0.000 5.458 0.000
0.000 0.000 5.161
Te Pt I Cl
1 1 2 1
direct
0.000 0.000 0.000
0.500 0.500 0.000
0.000 0.500 0.500
0.500 0.000 0.500
0.000 0.000 0.500
```

Properties
Raw total energy, eV/atom: -36.412
ΔE_f (raw), kJ/mol of formula units: 660
Density, Mg/m³: 6.61
DOS at the Fermi energy, states/eV per cell: 4.9

=====

[11]
Rb2ICl | SCAN | single point on PBEsol structure

```
Rb2ICl
1.0
0.000 4.161 4.161
4.161 0.000 4.161
4.161 4.161 0.000
Rb I Cl
2 1 1
direct
0.250 0.250 0.250
0.750 0.750 0.750
0.000 0.000 0.000
0.500 0.500 0.500
```

Properties
Raw total energy, eV/atom: -23.395
ΔE_f (raw), kJ/mol of formula units: -712
Density, Mg/m³: 3.84
DOS at the Fermi energy, states/eV per cell: 0.0

=====

[12]
Rb2ICl | SCAN | single point on PBEsol structure

```
Rb2ICl
1.0
-4.387 4.387 4.914
4.387 -4.387 4.914
4.387 4.387 -4.914
Rb I Cl
4 2 2
direct
0.087 0.125 0.462
0.375 0.913 0.038
0.663 0.625 0.538
0.875 0.337 0.962
0.250 0.750 0.500
0.500 0.500 0.000
0.000 0.000 0.000
0.750 0.250 0.500
```

Properties
Raw total energy, eV/atom: -23.353
ΔE_f (raw), kJ/mol of formula units: -696
Density, Mg/m³: 2.93
DOS at the Fermi energy, states/eV per cell: 0.0

=====

[13]
Rb2SnICl | SCAN | single point on PBEsol structure

```
Rb2SnICl
1.0
5.802 0.000 0.000
0.000 5.802 0.000
0.000 0.000 7.139
Rb Sn I Cl
2 1 1 1
direct
0.000 0.500 0.000
0.500 0.000 0.000
0.000 0.000 0.500
0.500 0.500 0.500
0.500 0.500 0.000
```

Properties
Raw total energy, eV/atom: -25.034
ΔE_f (raw), kJ/mol of formula units: -294
Density, Mg/m³: 3.12
DOS at the Fermi energy, states/eV per cell: 2.6

=====

[14]
Re3ICl | SCAN | single point on PBEsol structure

```
Re3ICl
1.0
4.858 0.000 0.000
0.000 4.858 0.000
0.000 0.000 4.858
Re I Cl
3 1 1
direct
0.000 0.000 0.500
0.000 0.500 0.000
0.500 0.000 0.000
0.000 0.000 0.000
0.500 0.500 0.500
```

Properties
Raw total energy, eV/atom: -48.316
ΔE_f (raw), kJ/mol of formula units: 1586
Density, Mg/m³: 10.44
DOS at the Fermi energy, states/eV per cell: 6.2

=====

[15]
Re3ICl | SCAN | single point on PBEsol structure

```
Re3ICl
1.0
4.424 0.000 0.000
0.000 4.424 0.000
0.000 0.000 4.424
Re I Cl
3 1 1
direct
0.000 0.000 0.500
0.000 0.500 0.000
0.500 0.000 0.000
0.500 0.500 0.500
0.000 0.000 0.000
```

Properties
Raw total energy, eV/atom: -49.053
ΔE_f (raw), kJ/mol of formula units: 1230
Density, Mg/m³: 13.82
DOS at the Fermi energy, states/eV per cell: 4.0

=====

[16]
ReICl2 | SCAN | single point on PBEsol structure

```
ReICl2
1.0
0.000 3.509 3.509
3.509 0.000 3.509
3.509 3.509 0.000
Re I Cl
1 1 2
direct
0.000 0.000 0.000
0.500 0.500 0.500
0.250 0.250 0.250
0.750 0.750 0.750
```

Properties
Raw total energy, eV/atom: -29.556
ΔE_f (raw), kJ/mol of formula units: 538
Density, Mg/m³: 7.38
DOS at the Fermi energy, states/eV per cell: 3.3

=====

[17]
ReSICl2 | SCAN | single point on PBEsol structure

```
ReSICl2
1.0
5.414 0.000 0.000
0.000 5.414 0.000
0.000 0.000 5.062
Re S I Cl
1 1 1 2
direct
0.000 0.000 0.000
0.500 0.500 0.000
0.500 0.500 0.500
0.000 0.500 0.500
0.500 0.000 0.500
```

Properties
Raw total energy, eV/atom: -25.211
ΔE_f (raw), kJ/mol of formula units: 711
Density, Mg/m³: 4.66
DOS at the Fermi energy, states/eV per cell: 1.9

=====

[18]
ReTe2ICl | SCAN | single point on PBEsol structure

```
ReTe2ICl
1.0
5.109 0.000 0.000
0.000 5.109 0.000
0.000 0.000 5.480
Re Te I Cl
1 2 1 1
direct
0.000 0.000 0.000
0.000 0.500 0.000
0.500 0.000 0.000
0.000 0.000 0.500
0.500 0.500 0.500
```

Properties
Raw total energy, eV/atom: -37.543
ΔE_f (raw), kJ/mol of formula units: 251
Density, Mg/m³: 7.01
DOS at the Fermi energy, states/eV per cell: 4.3

=====

[19]
RhICl2 | SCAN | single point on PBEsol structure

```
RhICl2
1.0
0.000 3.407 3.407
3.407 0.000 3.407
3.407 3.407 0.000
Rh I Cl
1 1 2
direct
0.000 0.000 0.000
0.500 0.500 0.500
0.250 0.250 0.250
0.750 0.750 0.750
```

Properties
Raw total energy, eV/atom: -20.787
ΔE_f (raw), kJ/mol of formula units: 320
Density, Mg/m³: 6.31
DOS at the Fermi energy, states/eV per cell: 5.3

=====

[20]
Rh2ICl | SCAN | single point on PBEsol structure

```
Rh2ICl
1.0
0.000 3.216 3.216
3.216 0.000 3.216
3.216 3.216 0.000
Rh I Cl
2 1 1
direct
0.250 0.250 0.250
0.750 0.750 0.750
0.000 0.000 0.000
0.500 0.500 0.500
```

Properties
Raw total energy, eV/atom: -27.539
ΔE_f (raw), kJ/mol of formula units: 203
Density, Mg/m³: 9.19
DOS at the Fermi energy, states/eV per cell: 1.3

=====

[21]
RhI2Cl | SCAN | single point on PBEsol structure

```
RhI2Cl
1.0
-3.816 3.816 3.756
3.816 -3.816 3.756
3.816 3.816 -3.756
Rh I Cl
2 4 2
direct
0.000 0.000 0.000
0.750 0.250 0.500
0.055 0.625 0.930
0.375 0.305 0.430
0.695 0.125 0.070
0.875 0.945 0.570
0.250 0.750 0.500
0.500 0.500 0.000
```

Properties
Raw total energy, eV/atom: -28.695
ΔE_f (raw), kJ/mol of formula units: 44
Density, Mg/m³: 5.95
DOS at the Fermi energy, states/eV per cell: 6.1

=====

[22]
RhICl3 | SCAN | single point on PBEsol structure

```
RhICl3
1.0
4.736 0.000 0.000
0.000 4.736 0.000
0.000 0.000 4.736
Rh I Cl
1 1 3
direct
0.000 0.000 0.000
0.500 0.500 0.500
0.000 0.000 0.500
0.000 0.500 0.000
0.500 0.000 0.000
```

Properties
Raw total energy, eV/atom: -18.947
ΔE_f (raw), kJ/mol of formula units: -28
Density, Mg/m³: 5.26
DOS at the Fermi energy, states/eV per cell: 8.0

=====

[23]
RhS2ICl | SCAN | single point on PBEsol structure

```
RhS2ICl
1.0
4.628 0.000 0.000
0.000 4.628 0.000
0.000 0.000 4.676
Rh S I Cl
1 2 1 1
direct
0.000 0.000 0.000
0.000 0.500 0.000
0.500 0.000 0.000
0.500 0.500 0.500
0.000 0.000 0.500
```

Properties
Raw total energy, eV/atom: -19.303
ΔE_f (raw), kJ/mol of formula units: 119
Density, Mg/m³: 5.46
DOS at the Fermi energy, states/eV per cell: 4.3

=====

[24]
SiRhI2Cl | SCAN | single point on PBEsol structure

```
SiRhI2Cl
1.0
5.490 0.000 0.000
0.000 5.490 0.000
0.000 0.000 4.609
Si Rh I Cl
1 1 2 1
direct
0.000 0.000 0.000
0.500 0.500 0.000
0.000 0.500 0.500
0.500 0.000 0.500
0.000 0.000 0.500
```

Properties
Raw total energy, eV/atom: -23.581
ΔE_f (raw), kJ/mol of formula units: 708
Density, Mg/m³: 5.02
DOS at the Fermi energy, states/eV per cell: 6.6

=====

[25]
Ru2ICl | SCAN | single point on PBEsol structure

```
Ru2ICl
1.0
0.000 3.184 3.184
3.184 0.000 3.184
3.184 3.184 0.000
Ru I Cl
2 1 1
direct
0.250 0.250 0.250
0.750 0.750 0.750
0.000 0.000 0.000
0.500 0.500 0.500
```

Properties
Raw total energy, eV/atom: -27.591
ΔE_f (raw), kJ/mol of formula units: 387
Density, Mg/m³: 9.37
DOS at the Fermi energy, states/eV per cell: 2.8

=====

[26]
RuI3Cl | SCAN | single point on PBEsol structure

```
RuI3Cl
1.0
5.540 0.000 0.000
0.000 5.540 0.000
0.000 0.000 5.540
Ru I Cl
1 3 1
direct
0.000 0.000 0.000
0.000 0.500 0.500
0.500 0.000 0.500
0.500 0.500 0.000
0.500 0.500 0.500
```

Properties
Raw total energy, eV/atom: -29.438
ΔE_f (raw), kJ/mol of formula units: 564
Density, Mg/m³: 5.05
DOS at the Fermi energy, states/eV per cell: 5.3

=====

[27]
TcRu2ICl | SCAN | single point on PBEsol structure

```
TcRu2ICl
1.0
4.701 0.000 0.000
0.000 4.701 0.000
0.000 0.000 4.483
Tc Ru I Cl
1 2 1 1
direct
0.000 0.000 0.000
0.000 0.500 0.000
0.500 0.000 0.000
0.500 0.500 0.500
0.000 0.000 0.500
```

Properties
Raw total energy, eV/atom: -28.658
ΔE_f (raw), kJ/mol of formula units: 592
Density, Mg/m³: 7.75
DOS at the Fermi energy, states/eV per cell: 6.3

=====

[28]
SbS2ICl | SCAN | single point on PBEsol structure

```
SbS2ICl
1.0
5.083 0.000 0.000
0.000 5.083 0.000
0.000 0.000 5.036
Sb S I Cl
1 2 1 1
direct
0.000 0.000 0.000
0.000 0.500 0.000
0.500 0.000 0.000
0.500 0.500 0.500
0.000 0.000 0.500
```

Properties
Raw total energy, eV/atom: -19.951
ΔE_f (raw), kJ/mol of formula units: 143
Density, Mg/m³: 4.45
DOS at the Fermi energy, states/eV per cell: 3.1

=====

[29]
ScSICl2 | SCAN | single point on PBEsol structure

```
ScSICl2
1.0
4.758 0.000 0.000
0.000 4.758 0.000
0.000 0.000 5.411
Sc S I Cl
1 1 1 2
direct
0.000 0.000 0.000
0.000 0.000 0.500
0.500 0.500 0.500
0.000 0.500 0.000
0.500 0.000 0.000
```

Properties
Raw total energy, eV/atom: -16.477
ΔE_f (raw), kJ/mol of formula units: -562
Density, Mg/m³: 3.73
DOS at the Fermi energy, states/eV per cell: 1.7